1.
This record from the Alexandria database describes NiTeC after structural relaxation. The functional is PBE.

**Total moment**: 0.00 Bohr magnetons per cell
**Uncorrected formation energy**: 465 meV per atom

POSCAR file:
```
NiTeC
1.0
11.931 0.000 0.000
0.000 3.511 0.000
-2.131 0.000 4.581
Ni Te C
4 4 4
Direct
0.000 0.000 0.000 Ni
0.103 0.500 0.604 Ni
0.500 0.500 0.000 Ni
0.603 0.000 0.604 Ni
0.182 0.500 0.182 Te
0.312 0.000 0.813 Te
0.682 0.000 0.182 Te
0.812 0.500 0.813 Te
0.006 0.000 0.377 C
0.006 0.000 0.634 C
0.506 0.500 0.377 C
0.506 0.500 0.634 C
```

2.
This record from the Alexandria database describes NiTeC after structural relaxation. The functional is PBE.

**Total moment**: 0.00 Bohr magnetons per cell
**Uncorrected formation energy**: 886 meV per atom

POSCAR file:
```
NiTeC
1.0
3.589 0.000 0.000
0.015 3.728 0.000
1.786 0.144 3.667
Ni Te C
1 1 1
Direct
0.000 0.000 0.000 Ni
0.673 0.366 0.647 Te
0.483 0.866 0.036 C
```

One value per record, in order, for DFT total energy: -67.01; -15.49 eV for the cell shown.